A relaxed structure of PmDy3In4, computed with GGA-PBE.

a = 10.709 Å, b = 7.531 Å, c = 5.354 Å
α = 90.00°, β = 90.00°, γ = 90.00°
Space group Pmma (No. 51)
Inequivalent atoms, fractional coordinates:
Pm1 0.000 0.000 0.000 x2
Dy1 0.000 0.500 0.000 x2
Dy2 0.250 0.000 0.499 x2
Dy3 0.250 0.500 0.498 x2
In1 0.000 0.255 0.500 x4
In2 0.250 0.255 0.998 x4

Values from the calculation:
Relative energy among the computed polymorphs, meV per atom: 0
Mass density, Mg/m³: 8.4
Total magnetic moment, Bohr magnetons per cell: 0.00
E, eV per atom: -4.16
Calculated formation energy, eV per atom: -0.473


A relaxed structure of Tb3Nd2SmSe6, computed with GGA-PBE.

a = 18.148 Å, b = 4.126 Å, c = 8.375 Å
α = 90.00°, β = 104.14°, γ = 90.00°
Space group C2/m (No. 12)
Inequivalent atoms, fractional coordinates:
Tb1 0.000 0.000 0.000 x2
Tb2 0.168 0.500 0.333 x4
Nd1 0.167 0.500 0.834 x4
Sm1 0.000 0.000 0.500 x2
Se1 0.003 0.500 0.247 x4
Se2 0.164 0.000 0.090 x4
Se3 0.168 0.000 0.575 x4

Values from the calculation:
Mass density, Mg/m³: 7.6
Total magnetic moment, Bohr magnetons per cell: 0.00
Raw formation energy, meV/atom: -1805
E, eV per atom: -5.89